Entry 1:
La2Th: relaxed, PBE.

Cell and atoms, written as POSCAR:
```
La2Th
1.0
-2.158 2.136 -1.992
-2.179 0.471 2.866
6.446 5.071 1.766
Th La
1 2
direct
0.000 0.000 0.000
0.653 0.653 0.306
0.347 0.347 0.694
```

Output
Total magnetization (Bohr magnetons per cell): 0.0
Energy above the lowest structure with this stoichiometry (meV/atom): 0
Calculated formation energy (eV per atom): 0.006
SG: I4/mmm



Entry 2:
InPdAu6: relaxed, PBE.

Cell and atoms, written as POSCAR:
```
InPdAu6
1.0
4.855 0.000 0.000
0.000 5.330 -2.482
0.000 -0.579 5.852
Au Pd In
6 1 1
direct
0.000 0.333 0.667
0.000 0.831 0.169
0.000 0.337 0.171
0.000 0.829 0.663
0.500 0.167 0.332
0.500 0.668 0.833
0.500 0.668 0.332
0.500 0.167 0.833
```

Output
Total magnetization (Bohr magnetons per cell): 0.0
Energy above the lowest structure with this stoichiometry (meV/atom): 0
Calculated formation energy (eV per atom): -0.109
SG: Amm2



Entry 3:
Ho7Fe2Te2: relaxed, PBE.

Cell and atoms, written as POSCAR:
```
Ho7Fe2Te2
1.0
3.793 0.000 0.814
0.987 8.034 4.648
-0.018 0.010 9.334
Te Ho Fe
2 7 2
direct
0.000 0.759 0.241
0.500 0.359 0.641
0.635 0.471 0.259
0.500 0.024 0.976
0.150 0.109 0.590
0.850 0.410 0.891
0.185 0.714 0.915
0.815 0.085 0.286
0.365 0.741 0.529
0.737 0.854 0.672
0.263 0.328 0.146
```

Output
ΔE_f (raw) (eV per atom): -0.489
Total magnetization (Bohr magnetons per cell): 1.4
SG: Imm2



Entry 4:
PmMgPtRh: relaxed, PBE.

Cell and atoms, written as POSCAR:
```
PmMgPtRh
1.0
-4.708 0.830 -0.010
-2.957 -2.981 2.285
-2.187 1.411 4.011
Rh Pm Mg Pt
1 1 1 1
direct
0.250 0.250 0.250
0.000 0.000 0.000
0.500 0.500 0.500
0.750 0.750 0.750
```

Output
Total magnetization (Bohr magnetons per cell): 0.0
Calculated formation energy (eV per atom): -0.742
SG: F-43m



Entry 5:
Mg3PbCl: relaxed, PBE.

Cell and atoms, written as POSCAR:
```
Mg3PbCl
1.0
5.585 0.000 0.000
0.000 5.585 0.000
0.000 0.000 5.585
Mg Cl Pb
3 1 1
direct
0.000 0.000 0.500
0.000 0.500 0.000
0.500 0.000 0.000
0.500 0.500 0.500
0.000 0.000 0.000
```

Output
ΔE_f (raw) (eV per atom): 0.005
Total magnetization (Bohr magnetons per cell): 0.0
Energy above the lowest structure with this stoichiometry (meV/atom): 34
SG: Pm-3m



Entry 6:
Cu2TeS: relaxed, PBE.

Cell and atoms, written as POSCAR:
```
Cu2TeS
1.0
-1.161 0.700 4.411
-1.786 4.051 1.301
-4.447 0.283 1.198
S Te Cu
1 1 2
direct
0.000 0.000 0.000
0.500 0.500 0.500
0.750 0.750 0.750
0.250 0.250 0.250
```

Output
ΔE_f (raw) (eV per atom): 0.458
Total magnetization (Bohr magnetons per cell): 0.0
Energy above the lowest structure with this stoichiometry (meV/atom): 586
SG: Fm-3m



Entry 7:
La2GaN3: relaxed, PBE.

Cell and atoms, written as POSCAR:
```
La2GaN3
1.0
-0.579 -6.021 -1.333
2.356 4.252 -3.838
11.170 -2.270 3.782
N Ga La
12 4 8
direct
0.316 0.114 0.473
0.506 0.149 0.871
0.149 0.506 0.371
0.010 0.990 0.750
0.990 0.010 0.250
0.114 0.316 0.973
0.851 0.494 0.629
0.600 0.400 0.250
0.400 0.600 0.750
0.494 0.851 0.129
0.684 0.886 0.527
0.886 0.684 0.027
0.732 0.729 0.662
0.268 0.271 0.338
0.729 0.732 0.162
0.271 0.268 0.838
0.033 0.446 0.151
0.868 0.657 0.425
0.343 0.132 0.075
0.446 0.033 0.651
0.132 0.343 0.575
0.967 0.554 0.849
0.554 0.967 0.349
0.657 0.868 0.925
```

Output
ΔE_f (raw) (eV per atom): -1.062
Total magnetization (Bohr magnetons per cell): 0.0
Energy above the lowest structure with this stoichiometry (meV/atom): 0
SG: C2/c



Entry 8:
Zn2Sn2Se: relaxed, PBE.

Cell and atoms, written as POSCAR:
```
Zn2Sn2Se
1.0
-6.822 -1.711 3.695
3.444 -6.272 3.453
1.019 2.141 2.873
Sn Zn Se
4 4 2
direct
0.307 0.807 0.000
0.693 0.193 0.000
0.193 0.307 0.000
0.807 0.693 0.000
0.887 0.387 0.500
0.387 0.113 0.500
0.113 0.613 0.500
0.613 0.887 0.500
0.000 0.000 0.000
0.500 0.500 0.000
```

Output
ΔE_f (raw) (eV per atom): 0.065
Total magnetization (Bohr magnetons per cell): 0.0
SG: P4/mbm



Entry 9:
Tl2CrRe: relaxed, PBE.

Cell and atoms, written as POSCAR:
```
Tl2CrRe
1.0
-1.886 -4.125 1.715
0.227 -4.055 -2.649
2.924 -3.622 1.358
Re Tl Cr
1 2 1
direct
0.750 0.750 0.750
0.000 0.000 0.000
0.250 0.250 0.250
0.500 0.500 0.500
```

Output
Total magnetization (Bohr magnetons per cell): 1.1
Energy above the lowest structure with this stoichiometry (meV/atom): 630
Calculated formation energy (eV per atom): 1.146
SG: F-43m



Entry 10:
Pm2Ga2SnRh5: relaxed, PBE.

Cell and atoms, written as POSCAR:
```
Pm2Ga2SnRh5
1.0
3.626 0.000 0.000
0.000 9.935 0.000
0.000 0.000 9.935
Ga Rh Pm Sn
4 10 4 2
direct
0.000 0.122 0.622
0.000 0.378 0.122
0.000 0.878 0.378
0.000 0.622 0.878
0.500 0.791 0.932
0.500 0.068 0.791
0.500 0.500 0.000
0.500 0.932 0.209
0.500 0.291 0.568
0.500 0.000 0.500
0.500 0.209 0.068
0.500 0.432 0.291
0.500 0.568 0.709
0.500 0.709 0.432
0.000 0.325 0.825
0.000 0.675 0.175
0.000 0.175 0.325
0.000 0.825 0.675
0.000 0.000 0.000
0.000 0.500 0.500
```

Output
Total magnetization (Bohr magnetons per cell): 0.0
Calculated formation energy (eV per atom): -0.783
SG: P4/mbm



Entry 11:
TaCl2F: relaxed, PBE.

Cell and atoms, written as POSCAR:
```
TaCl2F
1.0
0.000 3.100 3.100
3.100 0.000 3.100
3.100 3.100 0.000
Ta F Cl
1 1 2
direct
0.500 0.500 0.500
0.000 0.000 0.000
0.750 0.750 0.750
0.250 0.250 0.250
```

Output
ΔE_f (raw) (eV per atom): -0.653
Total magnetization (Bohr magnetons per cell): 2.0
Energy above the lowest structure with this stoichiometry (meV/atom): 732
SG: Fm-3m



Entry 12:
Sr3GaF: relaxed, PBE.

Cell and atoms, written as POSCAR:
```
Sr3GaF
1.0
-3.363 -0.365 -2.644
3.764 -7.871 -3.700
-5.542 -2.269 7.362
F Sr Ga
2 6 2
direct
0.750 0.051 0.910
0.250 0.949 0.090
0.250 0.910 0.814
0.750 0.630 0.426
0.750 0.090 0.186
0.250 0.370 0.574
0.250 0.682 0.072
0.750 0.318 0.928
0.750 0.612 0.782
0.250 0.388 0.218
```

Output
ΔE_f (raw) (eV per atom): -1.265
Total magnetization (Bohr magnetons per cell): 0.0
Energy above the lowest structure with this stoichiometry (meV/atom): 0
SG: P2_1/m



Entry 13:
MgZnNiHg: relaxed, PBE.

Cell and atoms, written as POSCAR:
```
MgZnNiHg
1.0
4.505 0.000 0.000
2.252 3.901 0.000
2.252 1.300 3.678
Hg Mg Ni Zn
1 1 1 1
direct
0.250 0.250 0.250
0.000 0.000 0.000
0.750 0.750 0.750
0.500 0.500 0.500
```

Output
Total magnetization (Bohr magnetons per cell): 0.0
Calculated formation energy (eV per atom): -0.025
SG: F-43m



Entry 14:
CeSmBeGa: relaxed, PBE.

Cell and atoms, written as POSCAR:
```
CeSmBeGa
1.0
-0.294 0.896 4.946
-0.206 -3.843 3.247
3.937 -0.994 2.977
Ga Ce Sm Be
1 1 1 1
direct
0.500 0.500 0.500
0.750 0.750 0.750
0.250 0.250 0.250
0.000 0.000 0.000
```

Output
Total magnetization (Bohr magnetons per cell): 0.4
Calculated formation energy (eV per atom): -0.138
SG: F-43m



Entry 15:
Co3P: relaxed, PBE.

Cell and atoms, written as POSCAR:
```
Co3P
1.0
-0.122 -0.290 2.603
2.758 -2.730 -0.175
2.943 2.944 0.466
Co P
3 1
direct
0.500 0.500 0.832
0.000 0.000 0.000
0.500 0.000 0.485
0.000 0.500 0.350
```

Output
Total magnetization (Bohr magnetons per cell): 3.3
Energy above the lowest structure with this stoichiometry (meV/atom): 260
Calculated formation energy (eV per atom): -0.084
SG: Pmm2



Entry 16:
VGaIr3: relaxed, PBE.

Cell and atoms, written as POSCAR:
```
VGaIr3
1.0
-2.652 -3.473 -1.238
3.685 -2.546 -0.753
-0.118 -1.444 4.305
Ir Ga V
3 1 1
direct
0.000 0.000 0.500
0.000 0.500 0.000
0.500 0.000 0.000
0.500 0.500 0.500
0.000 0.000 0.000
```

Output
Total magnetization (Bohr magnetons per cell): 0.0
Energy above the lowest structure with this stoichiometry (meV/atom): 0
Calculated formation energy (eV per atom): 1.109
SG: Pm-3m



Entry 17:
LiCaPdF6: relaxed, PBE.

Cell and atoms, written as POSCAR:
```
LiCaPdF6
1.0
4.931 0.000 0.000
0.000 4.931 0.000
0.000 0.000 10.142
F Pd Li Ca
12 2 2 2
direct
0.295 0.295 0.344
0.183 0.817 0.166
0.705 0.705 0.344
0.782 0.218 0.496
0.282 0.282 0.996
0.795 0.205 0.844
0.205 0.795 0.844
0.218 0.782 0.496
0.683 0.683 0.666
0.817 0.183 0.166
0.317 0.317 0.666
0.718 0.718 0.996
0.500 0.500 0.499
0.000 0.000 0.999
0.000 0.000 0.321
0.500 0.500 0.821
0.500 0.500 0.169
0.000 0.000 0.669
```

Output
ΔE_f (raw) (eV per atom): -2.498
Total magnetization (Bohr magnetons per cell): 2.0
SG: P4_2nm



Entry 18:
NdGa5PdRh2: relaxed, PBE.

Cell and atoms, written as POSCAR:
```
NdGa5PdRh2
1.0
-1.063 3.978 2.449
-4.380 -1.721 0.894
2.552 -3.210 6.324
Nd Rh Pd Ga
1 2 1 5
direct
0.000 0.000 0.500
0.500 0.500 0.195
0.500 0.500 0.805
0.000 0.000 0.000
0.500 0.000 0.186
0.000 0.500 0.814
0.500 0.000 0.814
0.500 0.500 0.500
0.000 0.500 0.186
```

Output
Total magnetization (Bohr magnetons per cell): 0.0
Calculated formation energy (eV per atom): -0.430
SG: P4/mmm



Entry 19:
Tb2ScAl: relaxed, PBE.

Cell and atoms, written as POSCAR:
```
Tb2ScAl
1.0
-3.059 -3.666 1.758
1.281 -3.664 -5.414
3.824 -0.017 6.619
Al Sc Tb
2 2 4
direct
0.250 0.157 0.374
0.750 0.843 0.626
0.250 0.205 0.802
0.750 0.795 0.198
0.750 0.359 0.643
0.750 0.236 0.131
0.250 0.641 0.357
0.250 0.764 0.869
```

Output
Total magnetization (Bohr magnetons per cell): 0.0
Energy above the lowest structure with this stoichiometry (meV/atom): 0
Calculated formation energy (eV per atom): -0.211
SG: P2_1/m



Entry 20:
AcPmDyBi: relaxed, PBE.

Cell and atoms, written as POSCAR:
```
AcPmDyBi
1.0
-0.331 5.209 -2.225
-3.803 3.704 2.003
1.726 4.487 3.014
Dy Bi Ac Pm
1 1 1 1
direct
0.000 0.000 0.000
0.250 0.250 0.250
0.750 0.750 0.750
0.500 0.500 0.500
```

Output
Total magnetization (Bohr magnetons per cell): 0.0
Calculated formation energy (eV per atom): -0.172
SG: F-43m



Number 1: final energy -5.75 eV/atom. Number 2: final energy -3.56 eV/atom. Number 3: final energy -5.51 eV/atom. Number 4: final energy -5.68 eV/atom. Number 5: final energy -2.06 eV/atom. Number 6: final energy -3.41 eV/atom. Number 7: final energy -7.37 eV/atom. Number 8: final energy -2.74 eV/atom. Number 9: final energy -5.56 eV/atom. Number 10: final energy -6.41 eV/atom. Number 11: final energy -5.01 eV/atom. Number 12: final energy -3.25 eV/atom. Number 13: final energy -2.26 eV/atom. Number 14: final energy -4.49 eV/atom. Number 15: final energy -6.77 eV/atom. Number 16: final energy -6.64 eV/atom. Number 17: final energy -4.76 eV/atom. Number 18: final energy -4.85 eV/atom. Number 19: final energy -5.04 eV/atom. Number 20: final energy -4.51 eV/atom.